Density functional theory data (PBE) for K2HgH6 after structural relaxation.

The structure in POSCAR format:
```
K2HgH6
1.0
5.379 0.386 -0.832
0.150 5.391 -0.832
0.042 0.044 10.728
Hg H K
2 12 4
Direct
0.211 0.211 0.858 Hg
0.789 0.789 0.142 Hg
0.444 0.986 0.871 H
0.986 0.444 0.871 H
0.581 0.581 0.128 H
0.014 0.556 0.129 H
0.986 0.986 0.123 H
0.419 0.419 0.872 H
0.671 0.671 0.589 H
0.556 0.014 0.129 H
0.155 0.155 0.659 H
0.014 0.014 0.877 H
0.329 0.329 0.411 H
0.845 0.845 0.341 H
0.824 0.347 0.357 K
0.176 0.653 0.643 K
0.347 0.824 0.357 K
0.653 0.176 0.643 K
```

Properties
Total magnetization, μB/f.u.: 0.00
VASP energy, eV per atom: -2.33